## SrBF2 (PBE-GGA)

Data for a relaxed structure of SrBF2.

E	-4.300	eV per atom
SG	Fm-3m
D(E_F)	2.32	states/eV/cell
distance to the lowest polymorph of the same formula	202.6	meV/atom

The structure in POSCAR format:
```
SrBF2
1.0
1.8536 0.1445 3.9865
-1.4831 2.8405 3.0135
-2.2102 -1.4695 3.5078
Sr B F
1 1 2
Direct
0.5000 0.5000 0.5000
0.0000 0.0000 0.0000
0.2500 0.2500 0.2500
0.7500 0.7500 0.7500
```